No. 1
VASP calculation (PBE) on Tm3Ge3Pd after structural relaxation.

Fermi-level density of states = 14.8 states/eV/cell
DFT formation energy = -0.51 eV/atom
calculated volume = 340.7 Å³ per cell
distance to the lowest polymorph of the same formula = 0.3917 eV/atom

Lattice parameters (Å, degrees): 5.6096 8.3743 8.3743 120.00 90.00 90.00
Fractional positions:
Ge1 0.7500 0.0655 0.7232
Ge2 0.2500 0.3423 0.0655
Ge3 0.2500 0.9345 0.2768
Ge4 0.2500 0.7232 0.6577
Ge5 0.7500 0.2768 0.3423
Ge6 0.7500 0.6577 0.9345
Tm1 0.7500 0.3963 0.0749
Tm2 0.7500 0.9251 0.3213
Tm3 0.2500 0.6037 0.9251
Tm4 0.7500 0.6787 0.6037
Tm5 0.2500 0.3213 0.3963
Tm6 0.2500 0.0749 0.6787
Pd1 0.7500 0.3333 0.6667
Pd2 0.2500 0.6667 0.3333

=====

No. 2
VASP calculation (PBE) on Tm3Ge4Pd2 after structural relaxation.

Fermi-level density of states = 2.7 states/eV/cell
DFT formation energy = -0.84 eV/atom
calculated volume = 177.5 Å³ per cell

Lattice parameters (Å, degrees): 4.2433 5.7698 8.2074 106.86 90.00 111.57
Fractional positions:
Ge1 0.0727 0.1454 0.3956
Ge2 0.7058 0.4117 0.0633
Ge3 0.9273 0.8546 0.6044
Ge4 0.2942 0.5883 0.9367
Tm1 0.3713 0.7426 0.3058
Tm2 0.6287 0.2574 0.6942
Tm3 0.0000 0.0000 0.0000
Pd1 0.3113 0.6225 0.6377
Pd2 0.6887 0.3775 0.3623

=====

No. 3
VASP calculation (PBE) on Tm4GePd3 after structural relaxation.

Fermi-level density of states = 4.7 states/eV/cell
DFT formation energy = -0.92 eV/atom
calculated volume = 174.8 Å³ per cell

Lattice parameters (Å, degrees): 3.7792 4.3571 10.6153 90.00 90.00 90.00
Fractional positions:
Pd1 0.5000 0.0000 0.9180
Pd2 0.0000 0.0000 0.4132
Pd3 0.0000 0.5000 0.5862
Ge1 0.5000 0.5000 0.0835
Tm1 0.5000 0.5000 0.3617
Tm2 0.5000 0.0000 0.6397
Tm3 0.0000 0.5000 0.8586
Tm4 0.0000 0.0000 0.1390

=====

No. 4
VASP calculation (PBE) on TmGePd6 after structural relaxation.

Fermi-level density of states = 3.2 states/eV/cell
DFT formation energy = -0.31 eV/atom
calculated volume = 162.3 Å³ per cell
distance to the lowest polymorph of the same formula = 0.3328 eV/atom

Lattice parameters (Å, degrees): 5.4753 5.4753 7.0060 67.00 67.00 60.00
Fractional positions:
Tm1 0.5000 0.5000 0.5000
Pd1 0.0756 0.5628 0.2860
Pd2 0.0756 0.0756 0.2860
Pd3 0.5628 0.0756 0.2860
Pd4 0.4372 0.9244 0.7140
Pd5 0.9244 0.4372 0.7140
Pd6 0.9244 0.9244 0.7140
Ge1 0.0000 0.0000 0.0000

=====

No. 5
VASP calculation (PBE) on Tm3Ge3Pd2 after structural relaxation.

Fermi-level density of states = 4.3 states/eV/cell
DFT formation energy = -0.94 eV/atom
calculated volume = 319.1 Å³ per cell
distance to the lowest polymorph of the same formula = 0.0000 eV/atom

Lattice parameters (Å, degrees): 4.3001 5.6424 14.2260 90.00 90.00 112.40
Fractional positions:
Pd1 0.2034 0.4068 0.3986
Pd2 0.2034 0.4068 0.1014
Pd3 0.7966 0.5932 0.6014
Pd4 0.7966 0.5932 0.8986
Tm1 0.0868 0.1735 0.6098
Tm2 0.3602 0.7204 0.7500
Tm3 0.0868 0.1735 0.8902
Tm4 0.9132 0.8265 0.3902
Tm5 0.9132 0.8265 0.1098
Tm6 0.6398 0.2796 0.2500
Ge1 0.6490 0.2981 0.7500
Ge2 0.3510 0.7019 0.2500
Ge3 0.3890 0.7779 0.9615
Ge4 0.6110 0.2221 0.4615
Ge5 0.6110 0.2221 0.0385
Ge6 0.3890 0.7779 0.5385

=====

No. 6
VASP calculation (PBE) on Tm2Ge3Pd5 after structural relaxation.

Fermi-level density of states = 12.0 states/eV/cell
DFT formation energy = -0.75 eV/atom
calculated volume = 363.8 Å³ per cell
distance to the lowest polymorph of the same formula = 0.0382 eV/atom

Lattice parameters (Å, degrees): 5.7255 8.4723 8.4723 85.51 70.25 70.25
Fractional positions:
Pd1 0.9058 0.9283 0.2601
Pd2 0.0172 0.2328 0.2328
Pd3 0.7500 0.5000 0.5000
Pd4 0.5942 0.7399 0.0717
Pd5 0.4828 0.7672 0.7672
Pd6 0.9828 0.7672 0.7672
Pd7 0.0942 0.0717 0.7399
Pd8 0.5172 0.2328 0.2328
Pd9 0.2500 0.5000 0.5000
Pd10 0.4058 0.2601 0.9283
Ge1 0.7500 0.0000 0.0000
Ge2 0.8629 0.7630 0.5113
Ge3 0.2500 0.0000 0.0000
Ge4 0.6371 0.4887 0.2370
Ge5 0.3629 0.5113 0.7630
Ge6 0.1371 0.2370 0.4887
Tm1 0.6361 0.1452 0.5826
Tm2 0.1361 0.5826 0.1452
Tm3 0.3639 0.8548 0.4174
Tm4 0.8639 0.4174 0.8548

=====

No. 7
VASP calculation (PBE) on Tm2GePd8 after structural relaxation.

Fermi-level density of states = 3.7 states/eV/cell
DFT formation energy = -0.71 eV/atom
calculated volume = 190.3 Å³ per cell

Lattice parameters (Å, degrees): 4.6219 5.8785 7.9405 111.74 106.92 90.00
Fractional positions:
Pd1 0.0000 0.2470 0.0001
Pd2 0.8163 0.8165 0.6326
Pd3 0.0000 0.7530 0.9999
Pd4 0.3661 0.1244 0.7323
Pd5 0.1837 0.1835 0.3674
Pd6 0.6339 0.3922 0.2678
Pd7 0.3661 0.6078 0.7322
Pd8 0.6339 0.8756 0.2677
Tm1 0.8117 0.3120 0.6234
Tm2 0.1883 0.6880 0.3766
Ge1 0.5000 0.0000 0.0000

=====

No. 8
VASP calculation (PBE) on TmGePd after structural relaxation.

Fermi-level density of states = 4.3 states/eV/cell
DFT formation energy = -0.30 eV/atom
calculated volume = 144.7 Å³ per cell

Lattice parameters (Å, degrees): 4.0926 6.0035 6.0035 101.15 90.00 90.00
Fractional positions:
Tm1 0.5000 0.8020 0.1980
Tm2 0.5000 0.1980 0.8020
Pd1 0.0000 0.6822 0.6822
Pd2 0.0000 0.3178 0.3178
Ge1 0.0000 0.0000 0.0000
Ge2 0.5000 0.5000 0.5000

=====

No. 9
VASP calculation (PBE) on TmGe2Pd after structural relaxation.

Fermi-level density of states = 4.6 states/eV/cell
DFT formation energy = -0.71 eV/atom
calculated volume = 308.0 Å³ per cell

Lattice parameters (Å, degrees): 4.2798 8.4843 8.7663 90.00 90.00 104.61
Fractional positions:
Tm1 0.5000 0.0000 0.5000
Tm2 0.5000 0.0000 0.0000
Tm3 0.7002 0.4003 0.2500
Tm4 0.2998 0.5997 0.7500
Ge1 0.0722 0.1444 0.2500
Ge2 0.9278 0.8556 0.7500
Ge3 0.6986 0.3971 0.5996
Ge4 0.9236 0.8472 0.2500
Ge5 0.0764 0.1528 0.7500
Ge6 0.3014 0.6029 0.4004
Ge7 0.6986 0.3971 0.9004
Ge8 0.3014 0.6029 0.0996
Pd1 0.1461 0.2923 0.4978
Pd2 0.8539 0.7077 0.5022
Pd3 0.1461 0.2923 0.0022
Pd4 0.8539 0.7077 0.9978

=====

No. 10
VASP calculation (PBE) on TmGe2Pd after structural relaxation.

Fermi-level density of states = 1.7 states/eV/cell
DFT formation energy = -0.66 eV/atom
calculated volume = 76.3 Å³ per cell

Lattice parameters (Å, degrees): 4.2156 4.2156 5.5201 67.55 67.55 60.00
Fractional positions:
Ge1 0.2250 0.2250 0.3251
Ge2 0.7750 0.7750 0.6749
Pd1 0.5000 0.5000 0.5000
Tm1 0.0000 0.0000 0.0000

=====

No. 11
VASP calculation (PBE) on TmGePd6 after structural relaxation.

Fermi-level density of states = 2.1 states/eV/cell
DFT formation energy = -0.64 eV/atom
calculated volume = 129.4 Å³ per cell
distance to the lowest polymorph of the same formula = 0.0000 eV/atom

Lattice parameters (Å, degrees): 4.0608 4.0608 7.8484 90.00 90.00 90.00
Fractional positions:
Ge1 0.0000 0.0000 0.5000
Pd1 0.5000 0.5000 0.0000
Pd2 0.0000 0.5000 0.2645
Pd3 0.5000 0.5000 0.5000
Pd4 0.5000 0.0000 0.2645
Pd5 0.0000 0.5000 0.7355
Pd6 0.5000 0.0000 0.7355
Tm1 0.0000 0.0000 0.0000

=====

No. 12
VASP calculation (PBE) on Tm5GePd2 after structural relaxation.

Fermi-level density of states = 14.0 states/eV/cell
DFT formation energy = -0.72 eV/atom
calculated volume = 379.0 Å³ per cell

Lattice parameters (Å, degrees): 7.5424 7.5424 8.5337 116.23 116.23 90.00
Fractional positions:
Pd1 0.6349 0.1349 0.0000
Pd2 0.1349 0.3651 0.0000
Pd3 0.8651 0.6349 0.0000
Pd4 0.3651 0.8651 0.0000
Tm1 0.4861 0.3068 0.2929
Tm2 0.5000 0.5000 0.0000
Tm3 0.5139 0.6932 0.7071
Tm4 0.1932 0.0139 0.7071
Tm5 0.6932 0.1932 0.7071
Tm6 0.3068 0.8068 0.2929
Tm7 0.8068 0.9861 0.2929
Tm8 0.9861 0.4861 0.2929
Tm9 0.0000 0.0000 0.0000
Tm10 0.0139 0.5139 0.7071
Ge1 0.2500 0.2500 0.5000
Ge2 0.7500 0.7500 0.5000